! CeSmGa2Ir2 PBE relaxed; values from VASP
&SYSTEM
  ibrav = 0, nat = 6, ntyp = 4
/
ATOMIC_SPECIES
Ce 140.12 Ce.upf
Sm 150.36 Sm.upf
Ga 69.72 Ga.upf
Ir 192.22 Ir.upf
CELL_PARAMETERS angstrom
4.4242 0.0000 0.0000
-2.2121 3.8314 0.0000
0.0000 0.0000 7.2545
ATOMIC_POSITIONS angstrom
Ce 0.0000 0.0000 0.0000
Sm 0.0000 0.0000 3.6273
Ga 0.0000 2.5543 5.4433
Ga 2.2121 1.2771 1.8112
Ir 0.0000 2.5543 1.7243
Ir 2.2121 1.2771 5.5302
! mass density: 11.0 Mg/m³
! formation energy from the elements: -0.759 eV per atom
! DOS(E_F): 6.18 states/eV/f.u.


! CeSmGaIr PBE relaxed; values from VASP
&SYSTEM
  ibrav = 0, nat = 4, ntyp = 4
/
ATOMIC_SPECIES
Ce 140.12 Ce.upf
Sm 150.36 Sm.upf
Ga 69.72 Ga.upf
Ir 192.22 Ir.upf
CELL_PARAMETERS angstrom
3.9086 0.0000 0.0000
0.0000 2.0944 5.7778
0.0000 -2.0944 5.7778
ATOMIC_POSITIONS angstrom
Ce 0.0000 0.0000 0.0000
Sm 1.9543 0.0000 8.3360
Ga 0.0000 0.0000 3.4799
Ir 1.9543 0.0000 5.3274
! mass density: 9.7 Mg/m³
! formation energy from the elements: -0.706 eV per atom
! DOS(E_F): 3.63 states/eV/f.u.


! CeSmGa5Ir2 PBE relaxed; values from VASP
&SYSTEM
  ibrav = 0, nat = 9, ntyp = 4
/
ATOMIC_SPECIES
Ce 140.12 Ce.upf
Sm 150.36 Sm.upf
Ga 69.72 Ga.upf
Ir 192.22 Ir.upf
CELL_PARAMETERS angstrom
4.7600 0.0000 0.0000
0.0000 4.7600 0.0000
0.0000 0.0000 8.9555
ATOMIC_POSITIONS angstrom
Ce 0.0000 0.0000 0.0000
Sm 0.0000 0.0000 4.4778
Ga 0.0000 2.3800 1.9939
Ga 0.0000 2.3800 6.9616
Ga 2.3800 0.0000 1.9939
Ga 2.3800 0.0000 6.9616
Ga 2.3800 2.3800 4.4778
Ir 2.3800 2.3800 2.1527
Ir 2.3800 2.3800 6.8028
! mass density: 8.4 Mg/m³
! formation energy from the elements: -0.335 eV per atom
! DOS(E_F): 7.62 states/eV/f.u.


Which value of DOS(E_F) does entry 3 give? 7.62 states/eV/f.u.